Below is a relaxed structure of TePdO2, with properties calculated at the GGA-PBE level.

```
data_TePdO2
_chemical_formula_sum 'Te1 Pd1 O2'
_space_group_name_H-M_alt 'P 1'
_space_group_IT_number 1
_space_group_name_Hall 'P 1'
_cell_length_a 7.265
_cell_length_b 7.265
_cell_length_c 7.265
_cell_angle_alpha 24.76
_cell_angle_beta 24.76
_cell_angle_gamma 24.76
loop_
_atom_site_label
_atom_site_type_symbol
_atom_site_fract_x
_atom_site_fract_y
_atom_site_fract_z
Pd1 Pd 0.000 0.000 0.000
O1 O 0.095 0.095 0.095
O2 O 0.905 0.905 0.905
Te1 Te 0.500 0.500 0.500
```

Output
Total energy, eV for the cell shown: -18.76